1.
# LaCr3Pt PBE-GGA optimized geometry
# Energy of formation from the pure elements, kJ/mol of formula units: 334
# Energy above the most stable polymorph in this dataset, eV/atom: 0.000
# Total DFT energy (no corrections), eV for the cell shown: -36.4
data_LaCr3Pt
_chemical_formula_sum 'La1 Cr3 Pt1'
_space_group_name_H-M_alt 'P m -3 m'
_space_group_IT_number 221
_space_group_name_Hall '-P 4 2 3'
_cell_length_a 4.9093
_cell_length_b 4.9093
_cell_length_c 4.9093
_cell_angle_alpha 90.00
_cell_angle_beta 90.00
_cell_angle_gamma 90.00
loop_
_atom_site_label
_atom_site_type_symbol
_atom_site_fract_x
_atom_site_fract_y
_atom_site_fract_z
_atom_site_occupancy
La1 La 0.0000 0.0000 0.0000 1
Cr1 Cr 0.0000 0.5000 0.5000 1
Pt1 Pt 0.5000 0.5000 0.5000 1

2.
# BeIn3Ir PBE-GGA optimized geometry
# Energy of formation from the pure elements, kJ/mol of formula units: 223
# Total DFT energy (no corrections), eV for the cell shown: -18.5
data_BeIn3Ir
_chemical_formula_sum 'Be1 In3 Ir1'
_space_group_name_H-M_alt 'P m -3 m'
_space_group_IT_number 221
_space_group_name_Hall '-P 4 2 3'
_cell_length_a 5.1794
_cell_length_b 5.1794
_cell_length_c 5.1794
_cell_angle_alpha 90.00
_cell_angle_beta 90.00
_cell_angle_gamma 90.00
loop_
_atom_site_label
_atom_site_type_symbol
_atom_site_fract_x
_atom_site_fract_y
_atom_site_fract_z
_atom_site_occupancy
Be1 Be 0.0000 0.0000 0.0000 1
In1 In 0.0000 0.5000 0.5000 1
Ir1 Ir 0.5000 0.5000 0.5000 1

3.
# GaCu3Au2 PBE-GGA optimized geometry
# Energy of formation from the pure elements, kJ/mol of formula units: -12
# Energy above the most stable polymorph in this dataset, eV/atom: 0.050
# Total DFT energy (no corrections), eV for the cell shown: -88.0
data_GaCu3Au2
_chemical_formula_sum 'Ga4 Cu12 Au8'
_space_group_name_H-M_alt 'P n m a'
_space_group_IT_number 62
_cell_length_a 8.2836
_cell_length_b 2.8116
_cell_length_c 15.5113
_cell_angle_alpha 90.00
_cell_angle_beta 90.00
_cell_angle_gamma 90.00
loop_
_space_group_symop_operation_xyz
'x,y,z'
'-x,-y,-z'
'-x+1/2,-y,z+1/2'
'x+1/2,y,-z+1/2'
'x+1/2,-y+1/2,-z+1/2'
'-x+1/2,y+1/2,z+1/2'
'-x,y+1/2,-z'
'x,-y+1/2,z'
loop_
_atom_site_label
_atom_site_type_symbol
_atom_site_fract_x
_atom_site_fract_y
_atom_site_fract_z
_atom_site_occupancy
Ga1 Ga 0.1981 0.2500 0.1609 1
Cu1 Cu 0.0178 0.7500 0.5730 1
Cu2 Cu 0.0346 0.2500 0.9013 1
Cu3 Cu 0.2392 0.2500 0.3274 1
Au1 Au 0.0321 0.2500 0.7245 1
Au2 Au 0.2337 0.7500 0.0010 1